No. 1
The following is a DFT calculation (PBE-GGA) of a relaxed structure of K2TlMoBr6. Values from VASP.

Quantum ESPRESSO input file:
```
&SYSTEM
  ibrav = 0, nat = 20, ntyp = 4
/
ATOMIC_SPECIES
Br 79.90 Br.upf
K 39.10 K.upf
Tl 204.38 Tl.upf
Mo 95.94 Mo.upf
CELL_PARAMETERS angstrom
-5.5485 -3.5913 3.7611
5.9426 -2.7957 6.0972
-1.9116 9.4354 6.1895
ATOMIC_POSITIONS crystal
Br 0.2374 0.0210 0.0000
K 0.0000 0.1698 0.3045
Tl 0.5000 0.3164 0.0000
Br 0.7626 0.0210 0.0000
K 0.0000 0.1698 0.6955
Br 0.7496 0.3914 0.5000
Br 0.7374 0.9790 0.5000
Br 0.2496 0.6086 0.0000
K 0.5000 0.8302 0.8045
K 0.5000 0.8302 0.1955
Br 0.5000 0.1923 0.7289
Br 0.2626 0.9790 0.5000
Mo 0.0000 0.8082 0.0000
Tl 0.0000 0.6836 0.5000
Mo 0.5000 0.1918 0.5000
Br 0.7504 0.6086 0.0000
Br 0.2504 0.3914 0.5000
Br 0.0000 0.8077 0.2289
Br 0.0000 0.8077 0.7711
Br 0.5000 0.1923 0.2711
```

**Uncorrected formation energy**: -10.5 eV/f.u.
**SG**: Pmmn

=====

No. 2
The following is a DFT calculation (PBE-GGA) of a relaxed structure of K2TlMoBr8. Values from VASP.

Quantum ESPRESSO input file:
```
&SYSTEM
  ibrav = 0, nat = 12, ntyp = 4
/
ATOMIC_SPECIES
Tl 204.38 Tl.upf
Br 79.90 Br.upf
Mo 95.94 Mo.upf
K 39.10 K.upf
CELL_PARAMETERS angstrom
-5.2683 5.0414 -0.5732
-3.7738 -3.8300 4.2489
3.5190 4.4980 7.1617
ATOMIC_POSITIONS crystal
Tl 0.0000 0.0000 0.5000
Br 0.3264 0.2563 0.4983
Br 0.1164 0.7775 0.8004
Mo 0.0000 0.0000 0.0000
K 0.4993 0.4970 0.7610
Br 0.6927 0.8139 0.9985
Br 0.1140 0.7764 0.1996
Br 0.8860 0.2236 0.8004
Br 0.6736 0.7437 0.5017
K 0.5007 0.5030 0.2390
Br 0.3073 0.1861 0.0015
Br 0.8836 0.2225 0.1996
```

**Uncorrected formation energy**: -10.8 eV/f.u.
**SG**: P-1
**N(E_F)**: 8.547 states/eV/cell

=====

No. 3
The following is a DFT calculation (PBE-GGA) of a relaxed structure of KTl2MoBr8. Values from VASP.

Quantum ESPRESSO input file:
```
&SYSTEM
  ibrav = 0, nat = 12, ntyp = 4
/
ATOMIC_SPECIES
Br 79.90 Br.upf
Mo 95.94 Mo.upf
Tl 204.38 Tl.upf
K 39.10 K.upf
CELL_PARAMETERS angstrom
6.4015 -1.7346 0.0091
-1.8716 8.0367 0.0024
-0.0188 0.0090 9.2938
ATOMIC_POSITIONS crystal
Br 0.9746 0.2106 0.8071
Mo 0.0000 0.0000 0.0000
Br 0.0288 0.7909 0.8078
Br 0.5572 0.2795 0.4991
Br 0.0254 0.7894 0.1929
Br 0.9712 0.2091 0.1922
Tl 0.5022 0.4993 0.7425
Br 0.4428 0.7205 0.5009
Tl 0.4978 0.5007 0.2575
Br 0.5732 0.8077 0.9987
K 0.0000 0.0000 0.5000
Br 0.4268 0.1923 0.0013
```

**Uncorrected formation energy**: -9.5 eV/f.u.
**SG**: P-1
**N(E_F)**: 5.664 states/eV/cell

=====

No. 4
The following is a DFT calculation (PBE-GGA) of a relaxed structure of KTlMoBr6. Values from VASP.

Quantum ESPRESSO input file:
```
&SYSTEM
  ibrav = 0, nat = 18, ntyp = 4
/
ATOMIC_SPECIES
Br 79.90 Br.upf
Tl 204.38 Tl.upf
Mo 95.94 Mo.upf
K 39.10 K.upf
CELL_PARAMETERS angstrom
-1.2219 3.3355 -6.8775
6.1987 -4.5117 1.0667
-6.8745 -10.3421 -3.7944
ATOMIC_POSITIONS crystal
Br 0.9384 0.6030 0.3642
Tl 0.6667 0.3333 0.7500
Mo 0.6667 0.3333 0.2500
Br 0.3355 0.9384 0.6358
Br 0.0616 0.6645 0.8642
Br 0.6030 0.6645 0.6358
Br 0.3970 0.0616 0.1358
K 0.0000 0.0000 0.5000
Br 0.6030 0.9384 0.8642
Br 0.0616 0.3970 0.6358
Br 0.6645 0.0616 0.3642
K 0.0000 0.0000 0.0000
Br 0.3970 0.3355 0.3642
Br 0.3355 0.3970 0.8642
Br 0.6645 0.6030 0.1358
Mo 0.3333 0.6667 0.7500
Tl 0.3333 0.6667 0.2500
Br 0.9384 0.3355 0.1358
```

**Uncorrected formation energy**: -7.8 eV/f.u.
**SG**: P-31c
**N(E_F)**: 9.494 states/eV/cell

=====

No. 5
The following is a DFT calculation (PBE-GGA) of a relaxed structure of K2TlMoBr. Values from VASP.

Quantum ESPRESSO input file:
```
&SYSTEM
  ibrav = 0, nat = 5, ntyp = 4
/
ATOMIC_SPECIES
K 39.10 K.upf
Br 79.90 Br.upf
Tl 204.38 Tl.upf
Mo 95.94 Mo.upf
CELL_PARAMETERS angstrom
6.6881 0.0000 0.0000
0.0000 5.3581 0.0000
0.0000 0.0000 6.6881
ATOMIC_POSITIONS crystal
K 0.5000 0.0000 0.0000
Br 0.5000 0.5000 0.5000
K 0.0000 0.0000 0.5000
Tl 0.0000 0.0000 0.0000
Mo 0.0000 0.5000 0.0000
```

**Uncorrected formation energy**: 2.3 eV/f.u.
**SG**: P4/mmm
**N(E_F)**: 1.852 states/eV/cell

=====

No. 6
The following is a DFT calculation (PBE-GGA) of a relaxed structure of KTl2MoBr6. Values from VASP.

Quantum ESPRESSO input file:
```
&SYSTEM
  ibrav = 0, nat = 10, ntyp = 4
/
ATOMIC_SPECIES
Br 79.90 Br.upf
K 39.10 K.upf
Tl 204.38 Tl.upf
Mo 95.94 Mo.upf
CELL_PARAMETERS angstrom
7.9941 0.0001 0.0004
3.9971 6.9228 0.0002
3.9970 2.3079 6.6216
ATOMIC_POSITIONS crystal
Br 0.1200 0.4442 0.7928
K 0.8174 0.8174 0.5479
Br 0.5446 0.1960 0.2499
Tl 0.5357 0.5357 0.3929
Br 0.0095 0.5446 0.2499
Tl 0.0271 0.0271 0.9187
Br 0.4442 0.6430 0.7927
Br 0.6430 0.1200 0.7928
Mo 0.3241 0.3241 0.0276
Br 0.1960 0.0095 0.2500
```

**Uncorrected formation energy**: -8.9 eV/f.u.
**SG**: R3

=====

No. 7
The following is a DFT calculation (PBE-GGA) of a relaxed structure of KYMoBr2. Values from VASP.

Quantum ESPRESSO input file:
```
&SYSTEM
  ibrav = 0, nat = 5, ntyp = 4
/
ATOMIC_SPECIES
Br 79.90 Br.upf
K 39.10 K.upf
Mo 95.94 Mo.upf
Y 88.91 Y.upf
CELL_PARAMETERS angstrom
5.7401 0.0000 0.0000
0.0000 5.6175 0.0000
0.0000 0.0000 5.7401
ATOMIC_POSITIONS crystal
Br 0.0000 0.0000 0.5000
K 0.5000 0.5000 0.5000
Br 0.5000 0.0000 0.0000
Mo 0.0000 0.5000 0.0000
Y 0.0000 0.0000 0.0000
```

**Uncorrected formation energy**: -0.3 eV/f.u.
**SG**: P4/mmm
**N(E_F)**: 2.782 states/eV/cell

=====

No. 8
The following is a DFT calculation (PBE-GGA) of a relaxed structure of K4BrN12. Values from VASP.

Quantum ESPRESSO input file:
```
&SYSTEM
  ibrav = 0, nat = 17, ntyp = 3
/
ATOMIC_SPECIES
N 14.01 N.upf
K 39.10 K.upf
Br 79.90 Br.upf
CELL_PARAMETERS angstrom
-1.7027 5.7558 5.5700
-4.8412 1.0017 -6.5278
-1.2918 -7.4062 3.2456
ATOMIC_POSITIONS crystal
N 0.4393 0.2108 0.7714
N 0.4393 0.6679 0.2286
N 0.3321 0.7714 0.5607
N 0.2286 0.4393 0.6679
K 0.0000 0.5000 0.0000
K 0.0000 0.0000 0.5000
N 0.7714 0.5607 0.3321
N 0.5607 0.3321 0.7714
N 0.2286 0.5607 0.7892
N 0.7892 0.2286 0.5607
K 0.5000 0.0000 0.0000
N 0.2108 0.7714 0.4393
K 0.5000 0.5000 0.5000
N 0.7714 0.4393 0.2108
Br 0.0000 0.0000 0.0000
N 0.5607 0.7892 0.2286
N 0.6679 0.2286 0.4393
```

**Uncorrected formation energy**: -3.9 eV/f.u.
**SG**: Im-3
**N(E_F)**: 7.610 states/eV/cell

=====

No. 9
The following is a DFT calculation (PBE-GGA) of a relaxed structure of KBrN2. Values from VASP.

Quantum ESPRESSO input file:
```
&SYSTEM
  ibrav = 0, nat = 8, ntyp = 3
/
ATOMIC_SPECIES
N 14.01 N.upf
Br 79.90 Br.upf
K 39.10 K.upf
CELL_PARAMETERS angstrom
-5.5544 -3.2123 0.3585
1.2019 -1.4788 5.3720
-1.3853 9.2219 2.8485
ATOMIC_POSITIONS crystal
N 0.4196 0.8476 0.3367
N 0.4196 0.6524 0.3367
N 0.5804 0.1524 0.6633
N 0.5804 0.3476 0.6633
Br 0.1993 0.7500 0.8999
Br 0.8007 0.2500 0.1001
K 0.2855 0.2500 0.0702
K 0.7145 0.7500 0.9298
```

**Uncorrected formation energy**: -3.2 eV/f.u.
**SG**: P2_1/m
**N(E_F)**: 0.000 states/eV/cell

=====

No. 10
The following is a DFT calculation (PBE-GGA) of a relaxed structure of K3BrN. Values from VASP.

Quantum ESPRESSO input file:
```
&SYSTEM
  ibrav = 0, nat = 5, ntyp = 3
/
ATOMIC_SPECIES
K 39.10 K.upf
N 14.01 N.upf
Br 79.90 Br.upf
CELL_PARAMETERS angstrom
-3.9660 0.5340 -3.6641
-2.0397 -4.7961 1.5087
-3.0903 2.4802 3.7065
ATOMIC_POSITIONS crystal
K 0.0000 0.0000 0.5000
K 0.0000 0.5000 0.0000
N 0.0000 0.0000 0.0000
K 0.5000 0.0000 0.0000
Br 0.5000 0.5000 0.5000
```

**Uncorrected formation energy**: -1.5 eV/f.u.
**SG**: Pm-3m
**N(E_F)**: 3.493 states/eV/cell

=====

No. 11
The following is a DFT calculation (PBE-GGA) of a relaxed structure of K3Br2N2. Values from VASP.

Quantum ESPRESSO input file:
```
&SYSTEM
  ibrav = 0, nat = 7, ntyp = 3
/
ATOMIC_SPECIES
N 14.01 N.upf
K 39.10 K.upf
Br 79.90 Br.upf
CELL_PARAMETERS angstrom
5.2876 -0.0002 -1.0167
-0.1790 4.3633 -0.9318
-0.8367 -0.2034 9.9074
ATOMIC_POSITIONS crystal
N 0.5000 0.8672 0.0000
N 0.5000 0.1328 0.0000
K 0.0000 0.0000 0.0000
Br 0.1692 0.1693 0.3386
K 0.6537 0.6537 0.3074
Br 0.8308 0.8307 0.6614
K 0.3463 0.3463 0.6926
```

**Uncorrected formation energy**: -6.7 eV/f.u.
**SG**: Immm
**N(E_F)**: 2.525 states/eV/cell

=====

No. 12
The following is a DFT calculation (PBE-GGA) of a relaxed structure of K3Br3N2. Values from VASP.

Quantum ESPRESSO input file:
```
&SYSTEM
  ibrav = 0, nat = 16, ntyp = 3
/
ATOMIC_SPECIES
Br 79.90 Br.upf
N 14.01 N.upf
K 39.10 K.upf
CELL_PARAMETERS angstrom
4.4558 0.0000 0.0000
-2.2279 14.5962 0.0000
0.0000 0.0000 9.7147
ATOMIC_POSITIONS crystal
Br 0.3132 0.6264 0.0211
Br 0.5587 0.1174 0.7500
N 0.0465 0.0929 0.3072
K 0.8918 0.7836 0.4439
K 0.1082 0.2164 0.9439
Br 0.3132 0.6264 0.4789
K 0.7577 0.5154 0.2500
N 0.0465 0.0929 0.1928
Br 0.4413 0.8826 0.2500
Br 0.6868 0.3736 0.9789
Br 0.6868 0.3736 0.5211
N 0.9535 0.9071 0.6928
K 0.1082 0.2164 0.5561
K 0.2423 0.4846 0.7500
N 0.9535 0.9071 0.8072
K 0.8918 0.7836 0.0561
```

**Uncorrected formation energy**: -9.5 eV/f.u.
**SG**: Cmcm
**N(E_F)**: 0.000 states/eV/cell

=====

No. 13
The following is a DFT calculation (PBE-GGA) of a relaxed structure of KBr2N. Values from VASP.

Quantum ESPRESSO input file:
```
&SYSTEM
  ibrav = 0, nat = 8, ntyp = 3
/
ATOMIC_SPECIES
K 39.10 K.upf
Br 79.90 Br.upf
N 14.01 N.upf
CELL_PARAMETERS angstrom
-4.4725 5.3006 -0.4686
-1.3861 -1.7514 -6.5826
-6.5858 -1.1732 -1.9713
ATOMIC_POSITIONS crystal
K 0.7500 0.2500 0.5000
Br 0.8750 0.6250 0.7500
Br 0.3750 0.6250 0.7500
Br 0.3750 0.1250 0.2500
N 0.5000 0.5000 0.0000
Br 0.3750 0.6250 0.2500
N 0.2500 0.7500 0.5000
K 0.0000 0.0000 0.0000
```

**Uncorrected formation energy**: 0.7 eV/f.u.
**SG**: I4_1/amd
**N(E_F)**: 0.000 states/eV/cell

=====

No. 14
The following is a DFT calculation (PBE-GGA) of a relaxed structure of K4Br5N2. Values from VASP.

Quantum ESPRESSO input file:
```
&SYSTEM
  ibrav = 0, nat = 11, ntyp = 3
/
ATOMIC_SPECIES
Br 79.90 Br.upf
K 39.10 K.upf
N 14.01 N.upf
CELL_PARAMETERS angstrom
4.3961 -0.9693 -1.3145
-2.6378 11.4636 -4.1334
-0.8506 -2.3515 9.4708
ATOMIC_POSITIONS crystal
Br 0.5000 0.0000 0.0000
K 0.0787 0.3092 0.4747
Br 0.9435 0.5607 0.7432
K 0.1148 0.1749 0.9371
Br 0.4714 0.8605 0.4448
K 0.8852 0.8251 0.0629
K 0.9213 0.6908 0.5253
N 0.4343 0.4443 0.9798
Br 0.5286 0.1395 0.5552
N 0.5657 0.5557 0.0202
Br 0.0565 0.4393 0.2568
```

**Uncorrected formation energy**: -13.0 eV/f.u.
**SG**: P-1

=====

No. 15
The following is a DFT calculation (PBE-GGA) of a relaxed structure of KBrN. Values from VASP.

Quantum ESPRESSO input file:
```
&SYSTEM
  ibrav = 0, nat = 6, ntyp = 3
/
ATOMIC_SPECIES
N 14.01 N.upf
Br 79.90 Br.upf
K 39.10 K.upf
CELL_PARAMETERS angstrom
-4.0542 -0.7140 -3.7509
3.0861 -4.3394 1.6313
-3.5067 0.4452 7.8450
ATOMIC_POSITIONS crystal
N 0.7461 0.8737 0.6198
Br 0.5252 0.2630 0.7883
K 0.1974 0.5987 0.7961
N 0.2539 0.1263 0.3802
Br 0.4748 0.7370 0.2117
K 0.8026 0.4013 0.2039
```

**Uncorrected formation energy**: 1.8 eV/f.u.
**SG**: R-3m
**N(E_F)**: 0.000 states/eV/cell

=====

No. 16
The following is a DFT calculation (PBE-GGA) of a relaxed structure of K2BrN. Values from VASP.

Quantum ESPRESSO input file:
```
&SYSTEM
  ibrav = 0, nat = 8, ntyp = 3
/
ATOMIC_SPECIES
K 39.10 K.upf
N 14.01 N.upf
Br 79.90 Br.upf
CELL_PARAMETERS angstrom
-6.2813 1.9561 0.3391
-1.7054 -4.7405 -4.2445
-5.1667 -6.1658 3.8503
ATOMIC_POSITIONS crystal
K 0.5695 0.1250 0.2500
N 0.5000 0.5000 0.0000
N 0.2500 0.7500 0.5000
Br 0.7500 0.2500 0.5000
K 0.8750 0.8195 0.7500
K 0.1805 0.6250 0.2500
Br 0.0000 0.0000 0.0000
K 0.3750 0.4305 0.7500
```

**Uncorrected formation energy**: -0.4 eV/f.u.
**SG**: I-42d
**N(E_F)**: 0.000 states/eV/cell

=====

No. 17
The following is a DFT calculation (PBE-GGA) of a relaxed structure of KBr2N6. Values from VASP.

Quantum ESPRESSO input file:
```
&SYSTEM
  ibrav = 0, nat = 9, ntyp = 3
/
ATOMIC_SPECIES
N 14.01 N.upf
Br 79.90 Br.upf
K 39.10 K.upf
CELL_PARAMETERS angstrom
6.7949 0.0000 0.0271
3.3974 6.2347 0.0135
-0.0250 0.0000 6.3281
ATOMIC_POSITIONS crystal
N 0.0056 0.4193 0.9999
Br 0.7630 0.4739 0.5000
Br 0.2370 0.5261 0.5000
N 0.5817 0.0000 0.9986
N 0.5751 0.4193 0.0001
N 0.4249 0.5807 0.9999
K 0.0000 0.0000 0.0000
N 0.4183 0.0000 0.0014
N 0.9944 0.5807 0.0001
```

**Uncorrected formation energy**: -2.0 eV/f.u.
**SG**: C2/m
**N(E_F)**: 1.543 states/eV/cell

=====

No. 18
The following is a DFT calculation (PBE-GGA) of a relaxed structure of KBrN2. Values from VASP.

Quantum ESPRESSO input file:
```
&SYSTEM
  ibrav = 0, nat = 4, ntyp = 3
/
ATOMIC_SPECIES
K 39.10 K.upf
Br 79.90 Br.upf
N 14.01 N.upf
CELL_PARAMETERS angstrom
0.0000 3.1586 3.1586
3.1586 0.0000 3.1586
3.1586 3.1586 0.0000
ATOMIC_POSITIONS crystal
K 0.0000 0.0000 0.0000
Br 0.5000 0.5000 0.5000
N 0.7500 0.7500 0.7500
N 0.2500 0.2500 0.2500
```

**Uncorrected formation energy**: 8.7 eV/f.u.
**SG**: Fm-3m
**N(E_F)**: 4.782 states/eV/cell

=====

No. 19
The following is a DFT calculation (PBE-GGA) of a relaxed structure of KBr2N. Values from VASP.

Quantum ESPRESSO input file:
```
&SYSTEM
  ibrav = 0, nat = 4, ntyp = 3
/
ATOMIC_SPECIES
N 14.01 N.upf
K 39.10 K.upf
Br 79.90 Br.upf
CELL_PARAMETERS angstrom
3.0326 0.0000 7.4079
-1.5163 2.6263 7.4079
-1.5163 -2.6263 7.4079
ATOMIC_POSITIONS crystal
N 0.0000 0.0000 0.0000
K 0.5000 0.5000 0.5000
Br 0.9003 0.9003 0.9003
Br 0.0997 0.0997 0.0997
```

**Uncorrected formation energy**: 1.0 eV/f.u.
**SG**: R-3m
**N(E_F)**: 0.000 states/eV/cell

=====

No. 20
The following is a DFT calculation (PBE-GGA) of a relaxed structure of KBrN. Values from VASP.

Quantum ESPRESSO input file:
```
&SYSTEM
  ibrav = 0, nat = 6, ntyp = 3
/
ATOMIC_SPECIES
N 14.01 N.upf
K 39.10 K.upf
Br 79.90 Br.upf
CELL_PARAMETERS angstrom
-3.9319 -4.6310 -0.1329
5.6416 -0.8327 1.0224
-1.2634 0.8867 6.4810
ATOMIC_POSITIONS crystal
N 0.5483 0.0967 0.5461
K 0.8258 0.6517 0.7512
Br 0.8325 0.6650 0.2428
N 0.4517 0.9033 0.4539
K 0.1742 0.3483 0.2488
Br 0.1675 0.3350 0.7572
```

**Uncorrected formation energy**: -3.3 eV/f.u.
**SG**: C2/m
**N(E_F)**: 0.000 states/eV/cell